# 1
# Cu2OsPb

A relaxed Cu2OsPb crystal (GGA-PBE, Alexandria via LeMat-Bulk).

## Properties
Calculated formation energy ... 0.581 eV/atom
Symmetry ... P4/mmm (123)

abc: 3.976 3.976 3.937
angles: 90.00 90.00 90.00
Fractional positions:
Cu  0.000  0.500  0.000
Cu  0.500  0.000  0.000
Os  0.000  0.000  0.500
Pb  0.500  0.500  0.500

# 2
# ZrCu3Cl

A relaxed ZrCu3Cl crystal (GGA-PBE, Alexandria via LeMat-Bulk).

## Properties
Symmetry ... Pm-3m (221)
E_form (uncorrected) ... 1231.7 meV per atom

abc: 5.064 5.064 5.064
angles: 90.00 90.00 90.00
Fractional positions:
Zr  0.000  0.000  0.000
Cu  0.000  0.000  0.500
Cu  0.000  0.500  0.000
Cu  0.500  0.000  0.000
Cl  0.500  0.500  0.500

# 3
# HfCuPb2Se5

A relaxed HfCuPb2Se5 crystal (GGA-PBE, Alexandria via LeMat-Bulk).

## Properties
Symmetry ... Cmc2_1 (36)
E_form (uncorrected) ... -677.3 meV per atom

abc: 9.239 9.239 13.213
angles: 90.00 90.00 155.59
Fractional positions:
Hf  0.205  0.795  0.500
Hf  0.795  0.205  0.000
Cu  0.423  0.577  0.932
Cu  0.577  0.423  0.432
Pb  0.104  0.896  0.773
Pb  0.112  0.888  0.128
Pb  0.888  0.112  0.628
Pb  0.896  0.104  0.273
Se  0.058  0.942  0.537
Se  0.278  0.722  0.142
Se  0.299  0.701  0.861
Se  0.353  0.647  0.471
Se  0.485  0.515  0.770
Se  0.515  0.485  0.270
Se  0.647  0.353  0.971
Se  0.701  0.299  0.361
Se  0.722  0.278  0.642
Se  0.942  0.058  0.037

# 4
# HoBeCu4

A relaxed HoBeCu4 crystal (GGA-PBE, Alexandria via LeMat-Bulk).

## Properties
Calculated formation energy ... -0.070 eV/atom
Symmetry ... F-43m (216)

abc: 4.948 4.948 4.948
angles: 60.00 60.00 60.00
Fractional positions:
Ho  0.000  0.000  0.000
Be  0.250  0.250  0.250
Cu  0.129  0.624  0.624
Cu  0.624  0.129  0.624
Cu  0.624  0.624  0.129
Cu  0.624  0.624  0.624

# 5
# PrSm7Y2

A relaxed PrSm7Y2 crystal (GGA-PBE, Alexandria via LeMat-Bulk).

## Properties
Calculated formation energy ... 0.014 eV/atom
Symmetry ... P-1 (2)

abc: 5.127 7.260 9.598
angles: 79.22 74.51 89.85
Fractional positions:
Pr  0.000  0.000  0.000
Sm  0.000  0.500  0.000
Sm  0.201  0.101  0.599
Sm  0.399  0.201  0.202
Sm  0.399  0.698  0.201
Sm  0.601  0.302  0.799
Sm  0.601  0.799  0.798
Sm  0.799  0.899  0.401
Y  0.200  0.600  0.599
Y  0.800  0.400  0.401

# 6
# PmYN

A relaxed PmYN crystal (GGA-PBE, Alexandria via LeMat-Bulk).

## Properties
Symmetry ... Pnma (62)
E_form (uncorrected) ... -938.4 meV per atom

abc: 11.964 3.549 6.163
angles: 90.00 90.00 90.00
Fractional positions:
Pm  0.016  0.250  0.233
Pm  0.484  0.750  0.733
Pm  0.516  0.250  0.267
Pm  0.984  0.750  0.767
Y  0.233  0.250  0.870
Y  0.267  0.750  0.370
Y  0.733  0.250  0.630
Y  0.767  0.750  0.130
N  0.134  0.750  0.056
N  0.366  0.250  0.556
N  0.634  0.750  0.444
N  0.866  0.250  0.944

# 7
# RbThCu2S4

A relaxed RbThCu2S4 crystal (GGA-PBE, Alexandria via LeMat-Bulk).

## Properties
Symmetry ... I222 (23)
E_form (uncorrected) ... -849.2 meV per atom

abc: 6.284 6.284 6.284
angles: 116.09 115.90 97.09
Fractional positions:
Rb  0.000  0.000  0.000
Th  0.500  0.500  0.000
Cu  0.252  0.752  0.500
Cu  0.748  0.248  0.500
S  0.070  0.069  0.557
S  0.488  0.931  0.001
S  0.512  0.513  0.443
S  0.930  0.487  0.999

# 8
# Be2CrSi

A relaxed Be2CrSi crystal (GGA-PBE, Alexandria via LeMat-Bulk).

## Properties
Symmetry ... Cm (8)
E_form (uncorrected) ... 551.8 meV per atom

abc: 2.531 2.531 8.403
angles: 98.77 98.77 59.97
Fractional positions:
Be  0.000  0.000  0.000
Be  0.500  0.500  0.499
Cr  0.909  0.909  0.724
Si  0.409  0.409  0.227

# 9
# BaLi2CoN2

A relaxed BaLi2CoN2 crystal (GGA-PBE, Alexandria via LeMat-Bulk).

## Properties
Symmetry ... Pnnm (58)
E_form (uncorrected) ... -314.2 meV per atom

abc: 5.438 8.512 3.962
angles: 90.00 90.00 90.00
Fractional positions:
Ba  0.000  0.000  0.000
Ba  0.500  0.500  0.500
Li  0.004  0.300  0.500
Li  0.496  0.800  0.000
Li  0.504  0.200  0.000
Li  0.996  0.700  0.500
Co  0.000  0.500  0.000
Co  0.500  0.000  0.500
N  0.195  0.341  0.000
N  0.305  0.841  0.500
N  0.695  0.159  0.500
N  0.805  0.659  0.000

# 10
# Rb2CaWBr6

A relaxed Rb2CaWBr6 crystal (GGA-PBE, Alexandria via LeMat-Bulk).

## Properties
Symmetry ... Fm-3m (225)
E_form (uncorrected) ... -1103.1 meV per atom

abc: 7.755 7.755 7.755
angles: 60.00 60.00 60.00
Fractional positions:
Rb  0.250  0.250  0.250
Rb  0.750  0.750  0.750
Ca  0.000  0.000  0.000
W  0.500  0.500  0.500
Br  0.261  0.261  0.739
Br  0.261  0.739  0.261
Br  0.261  0.739  0.739
Br  0.739  0.261  0.261
Br  0.739  0.261  0.739
Br  0.739  0.739  0.261

# 11
# TaNbNiPt

A relaxed TaNbNiPt crystal (GGA-PBE, Alexandria via LeMat-Bulk).

## Properties
Calculated formation energy ... -0.408 eV/atom
Symmetry ... P4mm (99)

abc: 3.268 3.268 5.968
angles: 90.00 90.00 90.00
Fractional positions:
Ta  0.000  0.000  0.000
Nb  0.500  0.500  0.301
Ni  0.000  0.000  0.510
Pt  0.500  0.500  0.763

# 12
# ZrIr2Rh

A relaxed ZrIr2Rh crystal (GGA-PBE, Alexandria via LeMat-Bulk).

## Properties
Calculated formation energy ... -0.292 eV/atom
Symmetry ... P2/m (10)

abc: 2.825 4.610 5.120
angles: 90.00 103.05 90.00
Fractional positions:
Zr  0.000  0.000  0.000
Ir  0.360  0.500  0.730
Ir  0.640  0.500  0.270
Rh  0.500  0.000  0.500

# 13
# Na5Ag4

A relaxed Na5Ag4 crystal (GGA-PBE, Alexandria via LeMat-Bulk).

## Properties
Calculated formation energy ... -0.003 eV/atom
Symmetry ... C2/m (12)

abc: 5.062 5.062 10.473
angles: 103.82 103.82 60.50
Fractional positions:
Na  0.000  0.000  0.000
Na  0.140  0.140  0.420
Na  0.259  0.259  0.782
Na  0.741  0.741  0.218
Na  0.860  0.860  0.580
Ag  0.363  0.363  0.083
Ag  0.455  0.455  0.362
Ag  0.545  0.545  0.638
Ag  0.637  0.637  0.917

# 14
# MgTlTcO6

A relaxed MgTlTcO6 crystal (GGA-PBE, Alexandria via LeMat-Bulk).

## Properties
Symmetry ... P-31c (163)
E_form (uncorrected) ... -1326.1 meV per atom

abc: 5.232 5.232 9.440
angles: 90.00 90.00 120.00
Fractional positions:
Mg  0.333  0.667  0.250
Mg  0.667  0.333  0.750
Tl  0.000  0.000  0.000
Tl  0.000  0.000  0.500
Tc  0.333  0.667  0.750
Tc  0.667  0.333  0.250
O  0.024  0.374  0.638
O  0.024  0.650  0.862
O  0.350  0.374  0.862
O  0.350  0.976  0.638
O  0.374  0.024  0.138
O  0.374  0.350  0.362
O  0.626  0.650  0.638
O  0.626  0.976  0.862
O  0.650  0.024  0.362
O  0.650  0.626  0.138
O  0.976  0.350  0.138
O  0.976  0.626  0.362

# 15
# Li5Mn3Br12

A relaxed Li5Mn3Br12 crystal (GGA-PBE, Alexandria via LeMat-Bulk).

## Properties
Symmetry ... Ia-3d (230)
E_form (uncorrected) ... -890.7 meV per atom

abc: 13.699 13.699 13.699
angles: 109.47 109.47 109.47
Fractional positions:
Li  0.000  0.000  0.000
Li  0.000  0.000  0.500
Li  0.000  0.500  0.000
Li  0.000  0.500  0.500
Li  0.125  0.750  0.875
Li  0.125  0.875  0.250
Li  0.250  0.125  0.875
Li  0.250  0.625  0.375
Li  0.375  0.250  0.625
Li  0.375  0.625  0.750
Li  0.500  0.000  0.000
Li  0.500  0.000  0.500
Li  0.500  0.500  0.000
Li  0.500  0.500  0.500
Li  0.625  0.375  0.250
Li  0.625  0.750  0.375
Li  0.750  0.375  0.625
Li  0.750  0.875  0.125
Li  0.875  0.125  0.750
Li  0.875  0.250  0.125
Mn  0.125  0.250  0.375
Mn  0.125  0.375  0.750
Mn  0.250  0.375  0.125
Mn  0.250  0.875  0.625
Mn  0.375  0.125  0.250
Mn  0.375  0.750  0.125
Mn  0.625  0.250  0.875
Mn  0.625  0.875  0.750
Mn  0.750  0.125  0.375
Mn  0.750  0.625  0.875
Mn  0.875  0.625  0.250
Mn  0.875  0.750  0.625
Br  0.042  0.222  0.125
Br  0.042  0.320  0.917
Br  0.083  0.625  0.403
Br  0.083  0.958  0.680
Br  0.097  0.722  0.680
Br  0.097  0.875  0.417
Br  0.125  0.042  0.222
Br  0.125  0.583  0.903
Br  0.180  0.222  0.597
Br  0.180  0.458  0.583
Br  0.222  0.125  0.042
Br  0.222  0.597  0.180
Br  0.278  0.320  0.903
Br  0.278  0.458  0.375
Br  0.320  0.903  0.278
Br  0.320  0.917  0.042
Br  0.375  0.278  0.458
Br  0.375  0.597  0.917
Br  0.403  0.083  0.625
Br  0.403  0.820  0.778
Br  0.417  0.097  0.875
Br  0.417  0.820  0.542
Br  0.458  0.375  0.278
Br  0.458  0.583  0.180
Br  0.542  0.417  0.820
Br  0.542  0.625  0.722
Br  0.583  0.180  0.458
Br  0.583  0.903  0.125
Br  0.597  0.180  0.222
Br  0.597  0.917  0.375
Br  0.625  0.403  0.083
Br  0.625  0.722  0.542
Br  0.680  0.083  0.958
Br  0.680  0.097  0.722
Br  0.722  0.542  0.625
Br  0.722  0.680  0.097
Br  0.778  0.403  0.820
Br  0.778  0.875  0.958
Br  0.820  0.542  0.417
Br  0.820  0.778  0.403
Br  0.875  0.417  0.097
Br  0.875  0.958  0.778
Br  0.903  0.125  0.583
Br  0.903  0.278  0.320
Br  0.917  0.042  0.320
Br  0.917  0.375  0.597
Br  0.958  0.680  0.083
Br  0.958  0.778  0.875

# 16
# Nd6PC2Br3

A relaxed Nd6PC2Br3 crystal (GGA-PBE, Alexandria via LeMat-Bulk).

## Properties
Symmetry ... C2/m (12)
E_form (uncorrected) ... -1085.9 meV per atom

abc: 6.816 6.816 7.785
angles: 98.39 98.39 120.00
Fractional positions:
Nd  0.082  0.438  0.812
Nd  0.207  0.207  0.187
Nd  0.438  0.082  0.812
Nd  0.562  0.918  0.188
Nd  0.793  0.793  0.813
Nd  0.918  0.562  0.188
P  0.500  0.500  0.000
C  0.167  0.833  0.000
C  0.833  0.167  0.000
Br  0.000  0.000  0.500
Br  0.336  0.664  0.500
Br  0.664  0.336  0.500

# 17
# PIrF

A relaxed PIrF crystal (GGA-PBE, Alexandria via LeMat-Bulk).

## Properties
Symmetry ... R3m (160)
E_form (uncorrected) ... -627.5 meV per atom

abc: 6.431 6.431 6.431
angles: 26.39 26.39 26.39
Fractional positions:
P  0.000  0.000  0.000
Ir  0.578  0.578  0.578
F  0.473  0.473  0.473

# 18
# Mn2BeIn

A relaxed Mn2BeIn crystal (GGA-PBE, Alexandria via LeMat-Bulk).

## Properties
Calculated formation energy ... 0.503 eV/atom
Symmetry ... R3m (160)

abc: 8.465 8.465 8.465
angles: 19.38 19.38 19.38
Fractional positions:
Mn  0.000  0.000  0.000
Mn  0.259  0.259  0.259
Be  0.521  0.521  0.521
In  0.764  0.764  0.764

Mass density list, top to bottom, in Mg/m³: 13.99 4.06 7.49 8.30 6.74 6.29 5.15 3.55 4.31 4.40 13.75 14.79 4.04 6.27 3.89 6.43 8.68 6.65